KGaNi2F8: optimized geometry, PBE with a Hubbard U.

POSCAR file:
```
KGaNi2F8
1.0
4.908 0.102 0.007
0.135 4.840 0.029
-0.012 -0.041 6.650
F Ni K Ga
8 2 1 1
direct
0.641 0.686 0.500
0.807 0.217 0.803
0.808 0.217 0.197
0.700 0.721 0.000
0.193 0.783 0.197
0.359 0.314 0.500
0.192 0.783 0.803
0.300 0.279 0.000
0.500 0.500 0.248
0.500 0.500 0.752
0.000 0.000 0.500
0.000 0.000 0.000
```

**E**: -52.44 eV/f.u.
**Total magnetization**: 4.0 μB/f.u.
**SG**: P2/m, No. 10